[1]
LiCr2O4 GGA+U optimized geometry; space-group type = No. 62; D(E_F) = 0.06 states/eV per atom; total magnetization = 0.714 μB/atom; energy = -198.8 eV/cell
1.0
9.041 0.000 0.000
0.000 2.941 0.000
0.000 0.000 10.391
Li Cr O
4 8 16
direct
0.248 0.250 0.120
0.252 0.750 0.620
0.748 0.250 0.380
0.752 0.750 0.880
0.062 0.250 0.382
0.085 0.250 0.896
0.415 0.750 0.396
0.438 0.750 0.882
0.562 0.250 0.118
0.585 0.250 0.604
0.915 0.750 0.104
0.938 0.750 0.618
0.029 0.750 0.781
0.081 0.250 0.570
0.119 0.750 0.026
0.199 0.750 0.348
0.301 0.250 0.848
0.381 0.250 0.526
0.419 0.750 0.070
0.471 0.250 0.281
0.529 0.750 0.719
0.581 0.250 0.930
0.619 0.750 0.474
0.699 0.750 0.152
0.801 0.250 0.652
0.881 0.250 0.974
0.919 0.750 0.430
0.971 0.250 0.219



[2]
LiCr3O4 GGA+U optimized geometry; space-group type = No. 12; D(E_F) = 0.00 states/eV per atom; total magnetization = 1.375 μB/atom; energy = -58.2 eV/cell
1.0
3.330 -4.140 0.000
3.330 4.140 0.000
-0.566 0.000 3.113
Li Cr O
1 3 4
direct
0.000 0.000 0.000
0.000 0.500 0.500
0.500 0.000 0.500
0.500 0.500 0.000
0.255 0.745 0.000
0.292 0.292 0.430
0.708 0.708 0.570
0.745 0.255 0.000



[3]
Li2Cr2OsO6 GGA+U optimized geometry; space-group type = No. 12; D(E_F) = 0.12 states/eV per atom; total magnetization = 0.364 μB/atom; energy = -77.8 eV/cell
1.0
2.551 -4.556 0.000
2.551 4.556 0.000
-1.605 0.000 4.960
Li Cr Os O
2 2 1 6
direct
0.172 0.828 0.000
0.828 0.172 0.000
0.337 0.663 0.500
0.663 0.337 0.500
0.000 0.000 0.500
0.050 0.402 0.715
0.254 0.254 0.276
0.402 0.050 0.715
0.598 0.950 0.285
0.746 0.746 0.724
0.950 0.598 0.285



[4]
Li2CrOsO6 GGA+U optimized geometry; space-group type = No. 14; D(E_F) = 0.29 states/eV per atom; total magnetization = 0.211 μB/atom; energy = -135.3 eV/cell
1.0
5.095 0.000 0.000
0.000 5.255 0.000
-5.083 0.000 7.391
Li Cr Os O
4 2 2 12
direct
0.249 0.037 0.251
0.249 0.463 0.751
0.751 0.537 0.249
0.751 0.963 0.749
0.500 0.000 0.000
0.500 0.500 0.500
0.000 0.000 0.500
0.000 0.500 0.000
0.113 0.193 0.939
0.113 0.307 0.439
0.254 0.681 0.943
0.254 0.819 0.443
0.360 0.038 0.744
0.360 0.462 0.244
0.640 0.538 0.756
0.640 0.962 0.256
0.746 0.181 0.557
0.746 0.319 0.057
0.887 0.693 0.561
0.887 0.807 0.061



[5]
LiCrP2O7 GGA+U optimized geometry; space-group type = No. 12; D(E_F) = 0.00 states/eV per atom; total magnetization = 0.272 μB/atom; energy = -158.1 eV/cell
1.0
4.931 -4.151 0.000
4.931 4.151 0.000
-2.923 0.000 6.031
Li Cr P O
2 2 4 14
direct
0.176 0.824 0.000
0.824 0.176 0.000
0.316 0.684 0.500
0.684 0.316 0.500
0.223 0.223 0.556
0.307 0.307 0.060
0.693 0.693 0.940
0.777 0.777 0.444
0.020 0.716 0.533
0.147 0.147 0.030
0.242 0.554 0.166
0.284 0.980 0.467
0.308 0.308 0.818
0.360 0.360 0.496
0.446 0.758 0.834
0.554 0.242 0.166
0.640 0.640 0.504
0.692 0.692 0.182
0.716 0.020 0.533
0.758 0.446 0.834
0.853 0.853 0.970
0.980 0.284 0.467



[6]
LiCrP4O12 GGA+U optimized geometry; space-group type = No. 14; D(E_F) = 0.00 states/eV per atom; total magnetization = 0.166 μB/atom; energy = -512.7 eV/cell
1.0
7.452 0.000 0.000
0.000 12.939 0.000
-7.252 0.000 8.927
Li Cr P O
4 4 16 48
direct
0.048 0.229 0.061
0.048 0.271 0.561
0.952 0.729 0.439
0.952 0.771 0.939
0.499 0.701 0.546
0.499 0.799 0.046
0.501 0.201 0.954
0.501 0.299 0.454
0.093 0.103 0.794
0.093 0.397 0.294
0.137 0.604 0.216
0.137 0.896 0.716
0.390 0.632 0.785
0.390 0.868 0.285
0.477 0.087 0.300
0.477 0.413 0.800
0.523 0.587 0.200
0.523 0.913 0.700
0.610 0.132 0.715
0.610 0.368 0.215
0.863 0.104 0.284
0.863 0.396 0.784
0.907 0.603 0.706
0.907 0.897 0.206
0.003 0.005 0.687
0.003 0.495 0.187
0.009 0.167 0.422
0.009 0.333 0.922
0.118 0.626 0.708
0.118 0.874 0.208
0.151 0.197 0.742
0.151 0.303 0.242
0.205 0.647 0.362
0.205 0.853 0.862
0.236 0.110 0.167
0.236 0.390 0.667
0.316 0.082 0.951
0.316 0.418 0.451
0.363 0.562 0.245
0.363 0.938 0.745
0.392 0.638 0.656
0.392 0.862 0.156
0.393 0.662 0.069
0.393 0.838 0.569
0.489 0.219 0.602
0.489 0.281 0.102
0.492 0.525 0.871
0.492 0.975 0.371
0.508 0.025 0.629
0.508 0.475 0.129
0.511 0.719 0.898
0.511 0.781 0.398
0.607 0.162 0.431
0.607 0.338 0.931
0.608 0.138 0.844
0.608 0.362 0.344
0.637 0.062 0.255
0.637 0.438 0.755
0.684 0.582 0.549
0.684 0.918 0.049
0.764 0.610 0.333
0.764 0.890 0.833
0.795 0.147 0.138
0.795 0.353 0.638
0.849 0.697 0.758
0.849 0.803 0.258
0.882 0.126 0.792
0.882 0.374 0.292
0.991 0.667 0.078
0.991 0.833 0.578
0.997 0.505 0.813
0.997 0.995 0.313



[7]
Li2CrP2O7 GGA+U optimized geometry; space-group type = No. 15; D(E_F) = 0.00 states/eV per atom; total magnetization = 0.333 μB/atom; energy = -167.9 eV/cell
1.0
7.792 -2.528 0.000
7.792 2.528 0.000
-3.870 0.000 8.085
Li Cr P O
4 2 4 14
direct
0.043 0.338 0.053
0.338 0.043 0.553
0.662 0.957 0.447
0.957 0.662 0.947
0.000 0.000 0.000
0.000 0.000 0.500
0.258 0.535 0.683
0.465 0.742 0.817
0.535 0.258 0.183
0.742 0.465 0.317
0.048 0.748 0.560
0.124 0.662 0.836
0.250 0.395 0.108
0.252 0.952 0.940
0.338 0.876 0.664
0.395 0.250 0.608
0.486 0.514 0.250
0.514 0.486 0.750
0.605 0.750 0.392
0.662 0.124 0.336
0.748 0.048 0.060
0.750 0.605 0.892
0.876 0.338 0.164
0.952 0.252 0.440



[8]
Li3Cr4PO19 GGA+U optimized geometry; space-group type = No. 8; total magnetization = 0.227 μB/atom; energy = -162.6 eV/cell
1.0
4.630 -6.252 0.000
4.630 6.252 0.000
-2.584 0.000 7.054
Li Cr P O
3 4 1 19
direct
0.000 0.000 0.000
0.119 0.630 0.603
0.630 0.119 0.603
0.118 0.493 0.117
0.471 0.471 0.726
0.493 0.118 0.117
0.925 0.925 0.448
0.566 0.566 0.157
0.027 0.604 0.982
0.032 0.270 0.015
0.071 0.537 0.319
0.102 0.884 0.572
0.258 0.472 0.695
0.270 0.032 0.015
0.374 0.578 0.166
0.470 0.891 0.683
0.472 0.258 0.695
0.537 0.071 0.319
0.571 0.571 0.588
0.578 0.374 0.166
0.604 0.027 0.982
0.607 0.607 0.974
0.715 0.715 0.328
0.872 0.872 0.713
0.884 0.102 0.572
0.891 0.470 0.683
0.983 0.983 0.268